1.
First-principles (PBE-GGA) data for CrP2SCl after structural relaxation, as listed in Alexandria. Values from VASP.

Structure (Quantum ESPRESSO input):
```
&SYSTEM
  ibrav = 0, nat = 5, ntyp = 4
/
ATOMIC_SPECIES
Cr 52.00 Cr.upf
P 30.97 P.upf
S 32.06 S.upf
Cl 35.45 Cl.upf
CELL_PARAMETERS angstrom
4.540 0.000 0.000
0.000 4.540 0.000
0.000 0.000 4.325
ATOMIC_POSITIONS angstrom
Cr 0.000 0.000 0.000
P 0.000 2.270 0.000
P 2.270 0.000 0.000
S 2.270 2.270 2.163
Cl 0.000 0.000 2.163
```

Output
As for the energy relative to the elements, uncorrected: 497 meV per atom.

2.
First-principles (PBE-GGA) data for CrP2SCl after structural relaxation, as listed in Alexandria. Values from VASP.

Structure (Quantum ESPRESSO input):
```
&SYSTEM
  ibrav = 0, nat = 5, ntyp = 4
/
ATOMIC_SPECIES
Cr 52.00 Cr.upf
P 30.97 P.upf
S 32.06 S.upf
Cl 35.45 Cl.upf
CELL_PARAMETERS angstrom
4.446 0.000 0.000
0.000 4.446 0.000
0.000 0.000 4.650
ATOMIC_POSITIONS angstrom
Cr 0.000 0.000 0.000
P 0.000 2.223 2.325
P 2.223 0.000 2.325
S 2.223 2.223 0.000
Cl 2.223 2.223 2.325
```

Output
As for the energy relative to the elements, uncorrected: 1674 meV per atom.

3.
First-principles (PBE-GGA) data for CrP2SCl after structural relaxation, as listed in Alexandria. Values from VASP.

Structure (Quantum ESPRESSO input):
```
&SYSTEM
  ibrav = 0, nat = 5, ntyp = 4
/
ATOMIC_SPECIES
Cr 52.00 Cr.upf
P 30.97 P.upf
S 32.06 S.upf
Cl 35.45 Cl.upf
CELL_PARAMETERS angstrom
4.533 0.000 0.000
0.000 4.533 0.000
0.000 0.000 4.313
ATOMIC_POSITIONS angstrom
Cr 0.000 0.000 0.000
P 0.000 2.267 0.000
P 2.267 0.000 0.000
S 0.000 0.000 2.156
Cl 2.267 2.267 2.156
```

Output
As for the energy relative to the elements, uncorrected: 286 meV per atom.

4.
First-principles (PBE-GGA) data for CrPS2Cl after structural relaxation, as listed in Alexandria. Values from VASP.

Structure (Quantum ESPRESSO input):
```
&SYSTEM
  ibrav = 0, nat = 5, ntyp = 4
/
ATOMIC_SPECIES
Cr 52.00 Cr.upf
P 30.97 P.upf
S 32.06 S.upf
Cl 35.45 Cl.upf
CELL_PARAMETERS angstrom
4.571 0.000 0.000
0.000 4.571 0.000
0.000 0.000 4.521
ATOMIC_POSITIONS angstrom
Cr 0.000 0.000 0.000
P 2.286 2.286 0.000
S 0.000 2.286 2.261
S 2.286 0.000 2.261
Cl 2.286 2.286 2.261
```

Output
As for the energy relative to the elements, uncorrected: 1645 meV per atom.

Sequential V output: 17.830, 18.383, 17.726, 18.895 A^3/atom